<P>
{"formula": "AcLa2Zn", "functional": "PBE-GGA", "state": "optimized geometry", "lattice_angstrom": [[5.8540, 0.0000, 0.0000], [0.0000, 5.8540, 0.0000], [0.0000, 0.0000, 3.8904]], "species": ["Ac", "La", "La", "Zn"], "fractional_positions": [[0.0000, 0.0000, 0.0000], [0.0000, 0.5000, 0.5000], [0.5000, 0.0000, 0.5000], [0.5000, 0.5000, 0.0000]], "volume_a3_per_cell": 133, "sg": "No. 123", "rho_g_cm3": 7.102}

<Q>
{"formula": "AcLa2Zn", "functional": "PBE-GGA", "state": "optimized geometry", "lattice_angstrom": [[8.1009, 0.0000, 0.0000], [0.0000, 8.1009, 0.0000], [0.0000, 0.0000, 8.1009]], "species": ["Ac", "Ac", "Ac", "Ac", "La", "La", "La", "La", "La", "La", "La", "La", "Zn", "Zn", "Zn", "Zn"], "fractional_positions": [[0.0000, 0.0000, 0.0000], [0.0000, 0.5000, 0.5000], [0.5000, 0.0000, 0.5000], [0.5000, 0.5000, 0.0000], [0.2500, 0.2500, 0.2500], [0.2500, 0.2500, 0.7500], [0.2500, 0.7500, 0.2500], [0.2500, 0.7500, 0.7500], [0.7500, 0.2500, 0.2500], [0.7500, 0.2500, 0.7500], [0.7500, 0.7500, 0.2500], [0.7500, 0.7500, 0.7500], [0.0000, 0.0000, 0.5000], [0.0000, 0.5000, 0.0000], [0.5000, 0.0000, 0.0000], [0.5000, 0.5000, 0.5000]], "volume_a3_per_cell": 532, "sg": "No. 225", "rho_g_cm3": 7.124}

From most stable to least stable, the computed energies give <P>, <Q>.

<P>
{"formula": "AcLa3Zn", "functional": "PBE-GGA", "state": "optimized geometry", "lattice_angstrom": [[7.2543, 0.0000, 0.0000], [-3.6272, 6.2824, 0.0000], [0.0000, 0.0000, 3.9278]], "species": ["Ac", "La", "La", "La", "Zn"], "fractional_positions": [[0.0000, 0.0000, 0.0000], [0.5153, 0.0306, 0.5000], [0.5153, 0.4847, 0.5000], [0.9694, 0.4847, 0.5000], [0.3333, 0.6667, 0.0000]], "volume_a3_per_cell": 179, "sg": "No. 187", "rho_g_cm3": 6.578}

<Q>
{"formula": "AcLa3Zn", "functional": "PBE-GGA", "state": "optimized geometry", "lattice_angstrom": [[6.5596, -1.9453, 0.0000], [6.5596, 1.9453, 0.0000], [-0.3959, 0.0000, 13.5127]], "species": ["Ac", "Ac", "La", "La", "La", "La", "La", "La", "Zn", "Zn"], "fractional_positions": [[0.2128, 0.2128, 0.2720], [0.7872, 0.7872, 0.7280], [0.0535, 0.0535, 0.8131], [0.1297, 0.1297, 0.5357], [0.3655, 0.3655, 0.9615], [0.6345, 0.6345, 0.0385], [0.8703, 0.8703, 0.4643], [0.9465, 0.9465, 0.1869], [0.4690, 0.4690, 0.6393], [0.5310, 0.5310, 0.3607]], "volume_a3_per_cell": 345, "sg": "No. 12", "rho_g_cm3": 6.829}

From most stable to least stable, the computed energies give <Q>, <P>.

<P>
{"formula": "Ac2LaZn2", "functional": "PBE-GGA", "state": "optimized geometry", "lattice_angstrom": [[3.8980, 0.0000, 0.0000], [0.0000, 21.5823, 0.0000], [0.0000, 0.0000, 3.8489]], "species": ["Ac", "Ac", "Ac", "Ac", "La", "La", "Zn", "Zn", "Zn", "Zn"], "fractional_positions": [[0.0000, 0.1706, 0.0000], [0.0000, 0.8294, 0.0000], [0.5000, 0.3294, 0.0000], [0.5000, 0.6706, 0.0000], [0.0000, 0.0000, 0.0000], [0.5000, 0.5000, 0.0000], [0.0000, 0.4189, 0.5000], [0.0000, 0.5811, 0.5000], [0.5000, 0.0811, 0.5000], [0.5000, 0.9189, 0.5000]], "volume_a3_per_cell": 324, "sg": "No. 65", "rho_g_cm3": 7.423}

<Q>
{"formula": "Ac2LaZn2", "functional": "PBE-GGA", "state": "optimized geometry", "lattice_angstrom": [[5.0140, 0.0000, 0.0000], [0.0000, 4.6360, 0.0000], [-2.3933, 0.0000, 13.8570]], "species": ["Ac", "Ac", "Ac", "Ac", "La", "La", "Zn", "Zn", "Zn", "Zn"], "fractional_positions": [[0.0540, 0.2500, 0.1120], [0.2638, 0.7500, 0.5295], [0.7362, 0.2500, 0.4705], [0.9460, 0.7500, 0.8880], [0.3671, 0.2500, 0.7334], [0.6329, 0.7500, 0.2666], [0.1723, 0.2500, 0.3379], [0.4789, 0.2500, 0.9552], [0.5211, 0.7500, 0.0448], [0.8277, 0.7500, 0.6621]], "volume_a3_per_cell": 322, "sg": "No. 11", "rho_g_cm3": 7.462}

From most stable to least stable, the computed energies give <P>, <Q>.

<P>
{"formula": "LiAc3", "functional": "PBE-GGA", "state": "optimized geometry", "lattice_angstrom": [[4.1034, 0.0000, 0.0000], [0.0000, 6.2377, 0.0000], [0.0000, 0.0000, 12.3481]], "species": ["Li", "Li", "Ac", "Ac", "Ac", "Ac", "Ac", "Ac"], "fractional_positions": [[0.0000, 0.0000, 0.0000], [0.5000, 0.5000, 0.5000], [0.0000, 0.0000, 0.5000], [0.0000, 0.5000, 0.2753], [0.0000, 0.5000, 0.7247], [0.5000, 0.0000, 0.2247], [0.5000, 0.0000, 0.7753], [0.5000, 0.5000, 0.0000]], "volume_a3_per_cell": 316, "sg": "No. 71", "rho_g_cm3": 7.229}

<Q>
{"formula": "LiAc3", "functional": "PBE-GGA", "state": "optimized geometry", "lattice_angstrom": [[8.6756, 0.0000, 0.0000], [0.0000, 8.6756, 0.0000], [0.0000, 0.0000, 8.6756]], "species": ["Li", "Li", "Li", "Li", "Ac", "Ac", "Ac", "Ac", "Ac", "Ac", "Ac", "Ac", "Ac", "Ac", "Ac", "Ac"], "fractional_positions": [[0.0000, 0.0000, 0.0000], [0.0000, 0.5000, 0.5000], [0.5000, 0.0000, 0.5000], [0.5000, 0.5000, 0.0000], [0.0000, 0.0000, 0.5000], [0.0000, 0.5000, 0.0000], [0.2500, 0.2500, 0.2500], [0.2500, 0.2500, 0.7500], [0.2500, 0.7500, 0.2500], [0.2500, 0.7500, 0.7500], [0.5000, 0.0000, 0.0000], [0.5000, 0.5000, 0.5000], [0.7500, 0.2500, 0.2500], [0.7500, 0.2500, 0.7500], [0.7500, 0.7500, 0.2500], [0.7500, 0.7500, 0.7500]], "volume_a3_per_cell": 653, "sg": "No. 225", "rho_g_cm3": 6.998}

<R>
{"formula": "LiAc3", "functional": "PBE-GGA", "state": "optimized geometry", "lattice_angstrom": [[5.4457, 0.0000, 0.0000], [0.0000, 5.4457, 0.0000], [0.0000, 0.0000, 5.4457]], "species": ["Li", "Ac", "Ac", "Ac"], "fractional_positions": [[0.0000, 0.0000, 0.0000], [0.0000, 0.5000, 0.5000], [0.5000, 0.0000, 0.5000], [0.5000, 0.5000, 0.0000]], "volume_a3_per_cell": 161, "sg": "No. 221", "rho_g_cm3": 7.073}

<S>
{"formula": "LiAc3", "functional": "PBE-GGA", "state": "optimized geometry", "lattice_angstrom": [[3.7988, 0.0000, 0.0000], [0.0000, 3.8647, 0.0000], [0.0000, 0.0000, 11.3209]], "species": ["Li", "Ac", "Ac", "Ac"], "fractional_positions": [[0.0000, 0.0000, 0.0000], [0.0000, 0.5000, 0.2516], [0.5000, 0.0000, 0.5012], [0.5000, 0.5000, 0.7961]], "volume_a3_per_cell": 166, "sg": "No. 25", "rho_g_cm3": 6.873}

From most stable to least stable, the computed energies give <P>, <R>, <Q>, <S>.

<P>
{"formula": "LiAc2", "functional": "PBE-GGA", "state": "optimized geometry", "lattice_angstrom": [[0.0000, 5.2075, 5.2075], [5.2075, 0.0000, 5.2075], [5.2075, 5.2075, 0.0000]], "species": ["Li", "Li", "Ac", "Ac", "Ac", "Ac"], "fractional_positions": [[0.1250, 0.1250, 0.1250], [0.8750, 0.8750, 0.8750], [0.0000, 0.5000, 0.5000], [0.5000, 0.0000, 0.5000], [0.5000, 0.5000, 0.0000], [0.5000, 0.5000, 0.5000]], "volume_a3_per_cell": 282, "sg": "No. 227", "rho_g_cm3": 5.420}

<Q>
{"formula": "LiAc2", "functional": "PBE-GGA", "state": "optimized geometry", "lattice_angstrom": [[4.0237, 0.0000, 0.0000], [0.0000, 4.0237, 0.0000], [0.0000, 0.0000, 13.7549]], "species": ["Li", "Li", "Ac", "Ac", "Ac", "Ac"], "fractional_positions": [[0.0000, 0.0000, 0.0000], [0.5000, 0.5000, 0.5000], [0.0000, 0.0000, 0.3508], [0.0000, 0.0000, 0.6492], [0.5000, 0.5000, 0.1492], [0.5000, 0.5000, 0.8508]], "volume_a3_per_cell": 223, "sg": "No. 139", "rho_g_cm3": 6.874}

From most stable to least stable, the computed energies give <Q>, <P>.

<P>
{"formula": "Li3Ac", "functional": "PBE-GGA", "state": "optimized geometry", "lattice_angstrom": [[4.7684, 0.0000, 0.0000], [0.0000, 4.7684, 0.0000], [0.0000, 0.0000, 9.7701]], "species": ["Li", "Li", "Li", "Li", "Li", "Li", "Ac", "Ac"], "fractional_positions": [[0.0000, 0.0000, 0.0000], [0.0000, 0.5000, 0.2500], [0.0000, 0.5000, 0.7500], [0.5000, 0.0000, 0.2500], [0.5000, 0.0000, 0.7500], [0.5000, 0.5000, 0.5000], [0.0000, 0.0000, 0.5000], [0.5000, 0.5000, 0.0000]], "volume_a3_per_cell": 222, "sg": "No. 139", "rho_g_cm3": 3.705}

<Q>
{"formula": "Li3Ac", "functional": "PBE-GGA", "state": "optimized geometry", "lattice_angstrom": [[3.7388, 0.0000, 0.0000], [0.0000, 5.7106, 0.0000], [0.0000, 0.0000, 10.3631]], "species": ["Li", "Li", "Li", "Li", "Li", "Li", "Ac", "Ac"], "fractional_positions": [[0.0000, 0.0000, 0.0000], [0.0000, 0.5000, 0.2827], [0.0000, 0.5000, 0.7173], [0.5000, 0.0000, 0.2173], [0.5000, 0.0000, 0.7827], [0.5000, 0.5000, 0.5000], [0.0000, 0.0000, 0.5000], [0.5000, 0.5000, 0.0000]], "volume_a3_per_cell": 221, "sg": "No. 71", "rho_g_cm3": 3.720}

<R>
{"formula": "Li3Ac", "functional": "PBE-GGA", "state": "optimized geometry", "lattice_angstrom": [[7.7099, 0.0000, 0.0000], [0.0000, 7.7099, 0.0000], [0.0000, 0.0000, 7.7099]], "species": ["Li", "Li", "Li", "Li", "Li", "Li", "Li", "Li", "Li", "Li", "Li", "Li", "Ac", "Ac", "Ac", "Ac"], "fractional_positions": [[0.0000, 0.0000, 0.0000], [0.0000, 0.5000, 0.5000], [0.2500, 0.2500, 0.2500], [0.2500, 0.2500, 0.7500], [0.2500, 0.7500, 0.2500], [0.2500, 0.7500, 0.7500], [0.5000, 0.0000, 0.5000], [0.5000, 0.5000, 0.0000], [0.7500, 0.2500, 0.2500], [0.7500, 0.2500, 0.7500], [0.7500, 0.7500, 0.2500], [0.7500, 0.7500, 0.7500], [0.0000, 0.0000, 0.5000], [0.0000, 0.5000, 0.0000], [0.5000, 0.0000, 0.0000], [0.5000, 0.5000, 0.5000]], "volume_a3_per_cell": 458, "sg": "No. 225", "rho_g_cm3": 3.592}

<S>
{"formula": "Li3Ac", "functional": "PBE-GGA", "state": "optimized geometry", "lattice_angstrom": [[3.5913, 0.0000, 0.0000], [0.0000, 5.3950, 0.0000], [0.0000, 0.0000, 5.9096]], "species": ["Li", "Li", "Li", "Ac"], "fractional_positions": [[0.0000, 0.0000, 0.0000], [0.0000, 0.5000, 0.2754], [0.5000, 0.0000, 0.3969], [0.5000, 0.5000, 0.7795]], "volume_a3_per_cell": 114, "sg": "No. 25", "rho_g_cm3": 3.594}

From most stable to least stable, the computed energies give <Q>, <S>, <P>, <R>.

<P>
{"formula": "Li3Ac", "functional": "PBE-GGA", "state": "optimized geometry", "lattice_angstrom": [[3.7974, 0.0000, 0.0000], [0.0000, 3.7974, 0.0000], [0.0000, 0.0000, 15.1292]], "species": ["Li", "Li", "Li", "Li", "Li", "Li", "Ac", "Ac"], "fractional_positions": [[0.2500, 0.2500, 0.0502], [0.2500, 0.2500, 0.2490], [0.2500, 0.2500, 0.8437], [0.7500, 0.7500, 0.1563], [0.7500, 0.7500, 0.7510], [0.7500, 0.7500, 0.9498], [0.2500, 0.2500, 0.5939], [0.7500, 0.7500, 0.4061]], "volume_a3_per_cell": 218, "sg": "No. 129", "rho_g_cm3": 3.773}

<Q>
{"formula": "Li3Ac", "functional": "PBE-GGA", "state": "optimized geometry", "lattice_angstrom": [[4.9270, 0.0000, 0.0000], [0.0000, 4.9270, 0.0000], [0.0000, 0.0000, 4.9270]], "species": ["Li", "Li", "Li", "Ac"], "fractional_positions": [[0.0000, 0.0000, 0.5000], [0.0000, 0.5000, 0.0000], [0.5000, 0.0000, 0.0000], [0.5000, 0.5000, 0.5000]], "volume_a3_per_cell": 120, "sg": "No. 221", "rho_g_cm3": 3.441}

From most stable to least stable, the computed energies give <P>, <Q>.

<P>
{"formula": "Li2Ac", "functional": "PBE-GGA", "state": "optimized geometry", "lattice_angstrom": [[3.8344, 0.0000, 0.0000], [0.0000, 3.8344, 0.0000], [0.0000, 0.0000, 11.7995]], "species": ["Li", "Li", "Li", "Li", "Ac", "Ac"], "fractional_positions": [[0.0000, 0.0000, 0.1980], [0.0000, 0.0000, 0.8020], [0.5000, 0.5000, 0.3020], [0.5000, 0.5000, 0.6980], [0.0000, 0.0000, 0.5000], [0.5000, 0.5000, 0.0000]], "volume_a3_per_cell": 173, "sg": "No. 139", "rho_g_cm3": 4.611}

<Q>
{"formula": "Li2Ac", "functional": "PBE-GGA", "state": "optimized geometry", "lattice_angstrom": [[0.0000, 4.4454, 4.4454], [4.4454, 0.0000, 4.4454], [4.4454, 4.4454, 0.0000]], "species": ["Li", "Li", "Li", "Li", "Ac", "Ac"], "fractional_positions": [[0.0000, 0.0000, 0.0000], [0.0000, 0.0000, 0.5000], [0.0000, 0.5000, 0.0000], [0.5000, 0.0000, 0.0000], [0.3750, 0.3750, 0.3750], [0.6250, 0.6250, 0.6250]], "volume_a3_per_cell": 176, "sg": "No. 227", "rho_g_cm3": 4.553}

From most stable to least stable, the computed energies give <Q>, <P>.

<P>
{"formula": "Li5Ac", "functional": "PBE-GGA", "state": "optimized geometry", "lattice_angstrom": [[5.4998, 0.0000, 0.0000], [0.0000, 15.5670, 0.0000], [0.0000, 0.0000, 3.6215]], "species": ["Li", "Li", "Li", "Li", "Li", "Li", "Li", "Li", "Li", "Li", "Ac", "Ac"], "fractional_positions": [[0.0000, 0.0000, 0.0000], [0.0000, 0.1559, 0.5000], [0.0000, 0.3063, 0.0000], [0.0000, 0.6937, 0.0000], [0.0000, 0.8441, 0.5000], [0.5000, 0.1937, 0.0000], [0.5000, 0.3441, 0.5000], [0.5000, 0.5000, 0.0000], [0.5000, 0.6559, 0.5000], [0.5000, 0.8063, 0.0000], [0.0000, 0.5000, 0.5000], [0.5000, 0.0000, 0.5000]], "volume_a3_per_cell": 310, "sg": "No. 65", "rho_g_cm3": 2.803}

<Q>
{"formula": "Li5Ac", "functional": "PBE-GGA", "state": "optimized geometry", "lattice_angstrom": [[5.3471, 0.0000, 0.0000], [0.0000, 11.1492, 0.0000], [0.0000, 0.0000, 5.0745]], "species": ["Li", "Li", "Li", "Li", "Li", "Li", "Li", "Li", "Li", "Li", "Ac", "Ac"], "fractional_positions": [[0.0000, 0.0000, 0.0000], [0.0000, 0.1790, 0.5000], [0.0000, 0.2824, 0.0000], [0.0000, 0.7176, 0.0000], [0.0000, 0.8210, 0.5000], [0.5000, 0.2176, 0.0000], [0.5000, 0.3210, 0.5000], [0.5000, 0.5000, 0.0000], [0.5000, 0.6790, 0.5000], [0.5000, 0.7824, 0.0000], [0.0000, 0.5000, 0.5000], [0.5000, 0.0000, 0.5000]], "volume_a3_per_cell": 303, "sg": "No. 65", "rho_g_cm3": 2.873}

From most stable to least stable, the computed energies give <P>, <Q>.

<P>
{"formula": "Li2AcLu", "functional": "PBE-GGA", "state": "optimized geometry", "lattice_angstrom": [[7.7379, 0.0000, 0.0000], [0.0000, 7.7379, 0.0000], [0.0000, 0.0000, 7.7379]], "species": ["Li", "Li", "Li", "Li", "Li", "Li", "Li", "Li", "Ac", "Ac", "Ac", "Ac", "Lu", "Lu", "Lu", "Lu"], "fractional_positions": [[0.2500, 0.2500, 0.2500], [0.2500, 0.2500, 0.7500], [0.2500, 0.7500, 0.2500], [0.2500, 0.7500, 0.7500], [0.7500, 0.2500, 0.2500], [0.7500, 0.2500, 0.7500], [0.7500, 0.7500, 0.2500], [0.7500, 0.7500, 0.7500], [0.0000, 0.0000, 0.0000], [0.0000, 0.5000, 0.5000], [0.5000, 0.0000, 0.5000], [0.5000, 0.5000, 0.0000], [0.0000, 0.0000, 0.5000], [0.0000, 0.5000, 0.0000], [0.5000, 0.0000, 0.0000], [0.5000, 0.5000, 0.5000]], "volume_a3_per_cell": 463, "sg": "No. 225", "rho_g_cm3": 5.962}

<Q>
{"formula": "Li2AcLu", "functional": "PBE-GGA", "state": "optimized geometry", "lattice_angstrom": [[3.8310, 0.0000, 0.0000], [0.0000, 3.8310, 0.0000], [0.0000, 0.0000, 7.7265]], "species": ["Li", "Li", "Ac", "Lu"], "fractional_positions": [[0.0000, 0.0000, 0.2245], [0.0000, 0.0000, 0.7755], [0.5000, 0.5000, 0.5000], [0.5000, 0.5000, 0.0000]], "volume_a3_per_cell": 113, "sg": "No. 123", "rho_g_cm3": 6.089}

From most stable to least stable, the computed energies give <Q>, <P>.

<P>
{"formula": "LiAcLu", "functional": "PBE-GGA", "state": "optimized geometry", "lattice_angstrom": [[3.6816, 0.0000, 0.0000], [-1.8408, 3.1884, 0.0000], [0.0000, 0.0000, 8.4574]], "species": ["Li", "Ac", "Lu"], "fractional_positions": [[0.0000, 0.0000, 0.0000], [0.6667, 0.3333, 0.3456], [0.3333, 0.6667, 0.6944]], "volume_a3_per_cell": 99, "sg": "No. 156", "rho_g_cm3": 6.839}

<Q>
{"formula": "LiAcLu", "functional": "PBE-GGA", "state": "optimized geometry", "lattice_angstrom": [[3.8824, 0.0000, 0.0000], [0.0000, 3.8824, 0.0000], [0.0000, 0.0000, 12.3192]], "species": ["Li", "Li", "Ac", "Ac", "Lu", "Lu"], "fractional_positions": [[0.0000, 0.0000, 0.0000], [0.5000, 0.5000, 0.5000], [0.0000, 0.0000, 0.6728], [0.5000, 0.5000, 0.1728], [0.0000, 0.0000, 0.3715], [0.5000, 0.5000, 0.8715]], "volume_a3_per_cell": 186, "sg": "No. 107", "rho_g_cm3": 7.313}

From most stable to least stable, the computed energies give <Q>, <P>.